(1)
Entry from Alexandria via LeMat-Bulk: an optimized crystal structure of Sr4ZrMn (PBE).

Cell: 7.036 7.036 7.036 Å, 60.00 60.00 60.00°
Each line ends with the local moment (μB).
Sites, in units of the cell vectors:
Sr  0.873  0.376  0.376  0.07
Sr  0.376  0.376  0.873  0.07
Sr  0.376  0.873  0.376  0.07
Sr  0.376  0.376  0.376  0.07
Zr  0.750  0.750  0.750  1.31
Mn  0.000  0.000  0.000  4.38

Output
Raw total energy   -3.032 eV/atom
Magnetization   8.3 μB per formula unit
DFT formation energy   1.0427 eV/atom



(2)
Entry from Alexandria via LeMat-Bulk: an optimized crystal structure of Sr2ZrMn (PBE).

Cell: 5.507 5.507 5.507 Å, 119.74 119.74 90.46°
Each line ends with the local moment (μB).
Sites, in units of the cell vectors:
Mn  0.750  0.250  0.500  3.85
Sr  0.000  0.000  0.000  -0.04
Sr  0.250  0.750  0.500  -0.11
Zr  0.500  0.500  0.000  -1.10

Output
Raw total energy   -4.540 eV/atom
Magnetization   2.0 μB per formula unit
DFT formation energy   0.7299 eV/atom



(3)
Entry from Alexandria via LeMat-Bulk: an optimized crystal structure of SrZrMn2 (PBE).

Cell: 4.105 3.795 6.436 Å, 72.89 90.00 90.00°
Each line ends with the local moment (μB).
Sites, in units of the cell vectors:
Mn  0.000  0.204  0.967  2.89
Mn  0.500  0.089  0.197  2.81
Sr  0.000  0.466  0.442  -0.01
Zr  0.500  0.741  0.893  -0.71

Output
Raw total energy   -6.688 eV/atom
Magnetization   4.8 μB per formula unit
DFT formation energy   0.4542 eV/atom



(4)
Entry from Alexandria via LeMat-Bulk: an optimized crystal structure of Sr2ZrMn (PBE).

Cell: 9.888 9.888 9.888 Å, 159.26 156.51 31.54°
Each line ends with the local moment (μB).
Sites, in units of the cell vectors:
Mn  0.250  0.750  0.500  2.93
Sr  0.093  0.093  0.000  -0.02
Sr  0.407  0.407  0.000  -0.02
Zr  0.750  0.250  0.500  -0.76

Output
Raw total energy   -4.848 eV/atom
Magnetization   1.8 μB per formula unit
DFT formation energy   0.4227 eV/atom



(5)
Entry from Alexandria via LeMat-Bulk: an optimized crystal structure of SrZr3Mn (PBE).

Cell: 5.051 5.051 5.051 Å, 90.00 90.00 90.00°
Each line ends with the local moment (μB).
Sites, in units of the cell vectors:
Sr  0.000  0.000  0.000  -0.03
Mn  0.500  0.500  0.500  -0.29
Zr  0.000  0.500  0.000  -0.13
Zr  0.000  0.000  0.500  -0.08
Zr  0.500  0.000  0.000  -0.06

Output
Raw total energy   -4.881 eV/atom
Magnetization   0.7 μB per formula unit
DFT formation energy   2.4183 eV/atom



(6)
Entry from Alexandria via LeMat-Bulk: an optimized crystal structure of SrZr2Mn2 (PBE).

Cell: 8.112 8.112 3.393 Å, 90.00 90.00 90.00°
Each line ends with the local moment (μB).
Sites, in units of the cell vectors:
Sr  0.000  0.000  0.000  -0.10
Sr  0.500  0.500  0.000  -0.10
Mn  0.374  0.874  0.000  2.86
Mn  0.874  0.626  0.000  2.86
Mn  0.626  0.126  0.000  2.86
Mn  0.126  0.374  0.000  2.86
Zr  0.145  0.645  0.500  -0.62
Zr  0.645  0.855  0.500  -0.63
Zr  0.855  0.355  0.500  -0.62
Zr  0.355  0.145  0.500  -0.63

Output
Raw total energy   -7.105 eV/atom
Magnetization   3.7 μB per formula unit
DFT formation energy   0.3184 eV/atom